[1]
Density functional theory data (PBE-GGA) for a relaxed structure of Sm2NiAg.

Calculated values
- energy relative to the elements (eV/atom) = -0.19
- excess energy over the best structure of this formula in the dataset (meV/atom) = 90

a b c (Å): 4.053 4.053 7.628
angles (deg): 74.59 74.59 60.00
Element x y z (fractional)
Ni (0.665, 0.665, 0.005)
Sm (0.264, 0.264, 0.209)
Sm (0.070, 0.070, 0.791)
Ag (0.501, 0.501, 0.496)



[2]
Density functional theory data (PBE-GGA) for a relaxed structure of Sm5Ni2Ag.

Calculated values
- energy relative to the elements (eV/atom) = -0.25

a b c (Å): 7.848 7.848 8.626
angles (deg): 117.06 117.06 90.00
Element x y z (fractional)
Ni (0.377, 0.877, 0.000)
Ni (0.123, 0.377, 0.000)
Ni (0.877, 0.623, 0.000)
Ni (0.623, 0.123, 0.000)
Ag (0.250, 0.250, 0.500)
Ag (0.750, 0.750, 0.500)
Sm (0.202, 0.025, 0.727)
Sm (0.000, 0.000, 0.000)
Sm (0.298, 0.798, 0.273)
Sm (0.975, 0.475, 0.273)
Sm (0.525, 0.702, 0.727)
Sm (0.025, 0.525, 0.727)
Sm (0.702, 0.202, 0.727)
Sm (0.475, 0.298, 0.273)
Sm (0.500, 0.500, 0.000)
Sm (0.798, 0.975, 0.273)



[3]
Density functional theory data (PBE-GGA) for a relaxed structure of Sm3Ni8Ag.

Calculated values
- energy relative to the elements (eV/atom) = -0.32

a b c (Å): 5.053 5.053 8.800
angles (deg): 73.32 73.32 60.00
Element x y z (fractional)
Sm (0.377, 0.377, 0.868)
Sm (0.992, 0.992, 0.025)
Sm (0.506, 0.506, 0.481)
Ni (0.188, 0.188, 0.436)
Ni (0.440, 0.937, 0.685)
Ni (0.436, 0.941, 0.188)
Ni (0.937, 0.937, 0.685)
Ni (0.937, 0.440, 0.685)
Ni (0.688, 0.688, 0.937)
Ni (0.941, 0.436, 0.188)
Ni (0.436, 0.436, 0.188)
Ag (0.872, 0.872, 0.385)



[4]
Density functional theory data (PBE-GGA) for a relaxed structure of NiAgSn.

Calculated values
- energy relative to the elements (eV/atom) = -0.01
- excess energy over the best structure of this formula in the dataset (meV/atom) = 0

a b c (Å): 6.169 6.169 12.316
angles (deg): 151.78 151.78 40.55
Element x y z (fractional)
Sn (0.370, 0.370, 0.751)
Sn (0.630, 0.630, 0.249)
Ag (0.661, 0.661, 0.750)
Ag (0.339, 0.339, 0.250)
Ni (0.994, 0.994, 0.749)
Ni (0.006, 0.006, 0.251)



Question: Which of these has the lowest energy relative to the elements?
Answer: Sm3Ni8Ag